No. 1
# PuPd4 GGA-PBE optimized geometry
# DOS at the Fermi energy (states/eV per atom): 2.97
# VASP energy (eV per formula unit): -37.3
# Crystal system: orthorhombic
# DFT formation energy (eV per atom): -0.44
data_PuPd4
_cell_length_a 4.3668
_cell_length_b 5.7611
_cell_length_c 13.9383
_cell_angle_alpha 90.00
_cell_angle_beta 90.00
_cell_angle_gamma 90.00
_symmetry_space_group_name_H-M 'I m m a'
_symmetry_Int_Tables_number 74
_symmetry_space_group_name_Hall '-I 2b 2'
loop_
_atom_site_label
_atom_site_type_symbol
_atom_site_fract_x
_atom_site_fract_y
_atom_site_fract_z
Pu1 Pu 0.0000 0.2500 0.1099
Pd1 Pd 0.0000 0.0000 0.5000
Pd2 Pd 0.0000 0.0107 0.6951
Pd3 Pd 0.0000 0.2500 0.8950


No. 2
# Tb2SbI GGA-PBE optimized geometry
# DOS at the Fermi energy (states/eV per atom): 0.27
# VASP energy (eV per formula unit): -18.7
# Crystal system: trigonal
# Formation energy without anion corrections (eV per formula unit): -3.770
data_Tb2SbI
_cell_length_a 4.2648
_cell_length_b 4.2648
_cell_length_c 23.4561
_cell_angle_alpha 90.00
_cell_angle_beta 90.00
_cell_angle_gamma 120.00
_symmetry_space_group_name_H-M 'R 3 m'
_symmetry_Int_Tables_number 160
_symmetry_space_group_name_Hall 'R 3 -2"'
loop_
_atom_site_label
_atom_site_type_symbol
_atom_site_fract_x
_atom_site_fract_y
_atom_site_fract_z
Tb1 Tb 0.0000 0.0000 0.0000
Tb2 Tb 0.0000 0.0000 0.1881
Sb1 Sb 0.0000 0.0000 0.5953
I1 I 0.0000 0.0000 0.4261


No. 3
# Si4MoRu GGA-PBE optimized geometry
# DOS at the Fermi energy (states/eV per atom): 0.55
# VASP energy (eV per formula unit): -39.6
# Crystal system: cubic
# Formation energy without anion corrections (eV per formula unit): 2.249
data_Si4MoRu
_cell_length_a 6.8168
_cell_length_b 6.8168
_cell_length_c 6.8168
_cell_angle_alpha 90.00
_cell_angle_beta 90.00
_cell_angle_gamma 90.00
_symmetry_space_group_name_H-M 'F -4 3 m'
_symmetry_Int_Tables_number 216
_symmetry_space_group_name_Hall 'F -4 2 3'
loop_
_atom_site_label
_atom_site_type_symbol
_atom_site_fract_x
_atom_site_fract_y
_atom_site_fract_z
Si1 Si 0.1250 0.1250 0.1250
Mo1 Mo 0.2500 0.2500 0.7500
Ru1 Ru 0.0000 0.0000 0.5000


No. 4
# LiTbDyIn GGA-PBE optimized geometry
# DOS at the Fermi energy (states/eV per atom): 0.88
# VASP energy (eV per formula unit): -14.9
# Crystal system: cubic
# DFT formation energy (eV per atom): -0.27
data_LiTbDyIn
_cell_length_a 7.4716
_cell_length_b 7.4716
_cell_length_c 7.4716
_cell_angle_alpha 90.00
_cell_angle_beta 90.00
_cell_angle_gamma 90.00
_symmetry_space_group_name_H-M 'F -4 3 m'
_symmetry_Int_Tables_number 216
_symmetry_space_group_name_Hall 'F -4 2 3'
loop_
_atom_site_label
_atom_site_type_symbol
_atom_site_fract_x
_atom_site_fract_y
_atom_site_fract_z
Li1 Li 0.0000 0.0000 0.0000
Tb1 Tb 0.2500 0.2500 0.2500
Dy1 Dy 0.2500 0.2500 0.7500
In1 In 0.0000 0.0000 0.5000


No. 5
# CrHPb2 GGA-PBE optimized geometry
# DOS at the Fermi energy (states/eV per atom): 1.14
# E above lowest polymorph (eV per atom): 0.218
# VASP energy (eV per formula unit): -16.7
# Crystal system: tetragonal
data_CrHPb2
_cell_length_a 6.6041
_cell_length_b 6.6041
_cell_length_c 6.7194
_cell_angle_alpha 90.00
_cell_angle_beta 90.00
_cell_angle_gamma 90.00
_symmetry_space_group_name_H-M 'I -4 2 d'
_symmetry_Int_Tables_number 122
_symmetry_space_group_name_Hall 'I -4 2bw'
loop_
_atom_site_label
_atom_site_type_symbol
_atom_site_fract_x
_atom_site_fract_y
_atom_site_fract_z
Cr1 Cr 0.0000 0.0000 0.0000
H1 H 0.0000 0.0000 0.5000
Pb1 Pb 0.1867 0.2500 0.6250


No. 6
# ThInTe2 GGA-PBE optimized geometry
# DOS at the Fermi energy (states/eV per atom): 0.66
# VASP energy (eV per formula unit): -19.5
# Crystal system: trigonal
# Formation energy without anion corrections (eV per formula unit): -3.057
data_ThInTe2
_cell_length_a 4.2678
_cell_length_b 4.2678
_cell_length_c 26.6123
_cell_angle_alpha 90.00
_cell_angle_beta 90.00
_cell_angle_gamma 120.00
_symmetry_space_group_name_H-M 'R 3 m'
_symmetry_Int_Tables_number 160
_symmetry_space_group_name_Hall 'R 3 -2"'
loop_
_atom_site_label
_atom_site_type_symbol
_atom_site_fract_x
_atom_site_fract_y
_atom_site_fract_z
Th1 Th 0.0000 0.0000 0.0000
In1 In 0.0000 0.0000 0.8354
Te1 Te 0.0000 0.0000 0.4090
Te2 Te 0.0000 0.0000 0.5912


No. 7
# MnNi3Ir GGA-PBE optimized geometry
# DOS at the Fermi energy (states/eV per atom): 1.27
# E above lowest polymorph (eV per atom): 1.145
# VASP energy (eV per formula unit): -29.3
# Crystal system: cubic
# DFT formation energy (eV per atom): 1.22
data_MnNi3Ir
_cell_length_a 4.5286
_cell_length_b 4.5286
_cell_length_c 4.5286
_cell_angle_alpha 90.00
_cell_angle_beta 90.00
_cell_angle_gamma 90.00
_symmetry_space_group_name_H-M 'P m -3 m'
_symmetry_Int_Tables_number 221
_symmetry_space_group_name_Hall '-P 4 2 3'
loop_
_atom_site_label
_atom_site_type_symbol
_atom_site_fract_x
_atom_site_fract_y
_atom_site_fract_z
Mn1 Mn 0.0000 0.0000 0.0000
Ni1 Ni 0.0000 0.5000 0.5000
Ir1 Ir 0.5000 0.5000 0.5000


No. 8
# CsNa2CuP GGA-PBE optimized geometry
# DOS at the Fermi energy (states/eV per atom): 0.36
# VASP energy (eV per formula unit): -13.1
# Crystal system: tetragonal
# DFT formation energy (eV per atom): -0.03
data_CsNa2CuP
_cell_length_a 5.7411
_cell_length_b 5.7411
_cell_length_c 4.5260
_cell_angle_alpha 90.00
_cell_angle_beta 90.00
_cell_angle_gamma 90.00
_symmetry_space_group_name_H-M 'P 4/m m m'
_symmetry_Int_Tables_number 123
_symmetry_space_group_name_Hall '-P 4 2'
loop_
_atom_site_label
_atom_site_type_symbol
_atom_site_fract_x
_atom_site_fract_y
_atom_site_fract_z
Cs1 Cs 0.0000 0.0000 0.0000
Na1 Na 0.0000 0.5000 0.5000
Cu1 Cu 0.5000 0.5000 0.0000
P1 P 0.5000 0.5000 0.5000